[1]
Material: Ac2La2PmDy
Method: DFT, PBE
State: relaxed

## Properties
density of states at the Fermi level = 18.86 states/eV/cell
formation enthalpy at 0 K = 76 meV/atom
E_tot = -4.495 eV/atom

Cell: 7.4044 5.9824 10.3326 Å, 90.00 90.00 90.00°
Space group Pmma (No. 51)
One atom of each set of equivalent atoms:
Ac  0.0000  0.0000  0.0000
Ac  0.2500  0.5000  0.1737
La  0.2500  0.0000  0.3438
La  0.2500  0.5000  0.8270
Pm  0.0000  0.5000  0.5000
Dy  0.2500  0.0000  0.6645



[2]
Material: Ac3SnO4
Method: DFT, PBE
State: relaxed

## Properties
density of states at the Fermi level = 1.54 states/eV/cell
raw formation energy = -2.729 eV per atom
E_tot = -7.249 eV/atom

Cell: 4.2448 4.2448 10.7056 Å, 90.00 90.00 90.00°
Space group P4/mmm (No. 123)
One atom of each set of equivalent atoms:
Ac  0.0000  0.0000  0.0000
Ac  0.5000  0.5000  0.2477
Sn  0.0000  0.0000  0.5000
O  0.0000  0.5000  0.1452



> Among the records above, which one has the highest density of states at the Fermi level?

Ac2La2PmDy



> Among the records above, which one has the highest E_tot?

Ac2La2PmDy



> Which of these has the lowest E_tot?

Ac3SnO4